No. 1
TiGeS2: PBEsol geometry, meta-GGA SCAN.

Its space group is I-42d (122). As for the uncorrected formation energy: -518 meV per atom.

Cell lengths 5.922, 6.636, 5.922 Å; angles 63.50, 90.00, 116.50 degrees
Site moments in Bohr magnetons follow the coordinates.
Element x y z (fractional)
Ge 0.750 0.500 0.750  0.11
Ge 0.000 0.000 0.000  0.11
S 0.589 0.750 0.375  -0.05
S 0.161 0.750 0.875  -0.05
S 0.875 0.250 0.589  -0.05
S 0.375 0.250 0.161  -0.05
Ti 0.250 0.500 0.250  1.29
Ti 0.500 0.000 0.500  1.29

No. 2
TiGeS2: PBEsol geometry, meta-GGA SCAN.

Its space group is R-3m (166). As for the uncorrected formation energy: -923 meV per atom.

Cell lengths 3.258, 3.258, 8.340 Å; angles 78.74, 78.74, 60.00 degrees
Element x y z (fractional)
Ge 0.000 0.000 0.000
S 0.894 0.894 0.318
S 0.106 0.106 0.682
Ti 0.500 0.500 0.500

No. 3
TlGeS2: PBEsol geometry, meta-GGA SCAN.

Its space group is R-3m (166). As for the uncorrected formation energy: 214 meV per atom.

Cell lengths 3.939, 3.939, 8.302 Å; angles 76.28, 76.28, 60.00 degrees
Element x y z (fractional)
S 0.909 0.909 0.274
S 0.091 0.091 0.726
Tl 0.500 0.500 0.500
Ge 0.000 0.000 0.000

No. 4
TlGeS2: PBEsol geometry, meta-GGA SCAN.

Its space group is Pnma (62). As for the uncorrected formation energy: -428 meV per atom.

Cell lengths 6.584, 8.765, 13.742 Å; angles 90.00, 90.00, 90.00 degrees
Element x y z (fractional)
Tl 0.250 0.141 0.184
Tl 0.750 0.859 0.816
Tl 0.250 0.641 0.316
Tl 0.750 0.359 0.684
Tl 0.250 0.479 0.859
Tl 0.750 0.521 0.141
Tl 0.250 0.979 0.641
Tl 0.750 0.021 0.359
Ge 0.750 0.914 0.039
Ge 0.750 0.264 0.933
Ge 0.250 0.736 0.067
Ge 0.750 0.764 0.567
Ge 0.250 0.236 0.433
Ge 0.750 0.414 0.461
Ge 0.250 0.586 0.539
Ge 0.250 0.086 0.961
S 0.995 0.343 0.346
S 0.995 0.843 0.154
S 0.495 0.157 0.846
S 0.505 0.343 0.346
S 0.005 0.657 0.654
S 0.005 0.157 0.846
S 0.505 0.843 0.154
S 0.495 0.657 0.654
S 0.250 0.990 0.420
S 0.750 0.010 0.580
S 0.250 0.490 0.080
S 0.750 0.175 0.085
S 0.250 0.325 0.585
S 0.750 0.675 0.415
S 0.250 0.825 0.915
S 0.750 0.510 0.920

No. 5
GeWS2: PBEsol geometry, meta-GGA SCAN.

Its space group is R-3m (166). As for the uncorrected formation energy: -194 meV per atom.

Cell lengths 3.101, 3.101, 8.742 Å; angles 79.78, 79.78, 60.00 degrees
Element x y z (fractional)
Ge 0.000 0.000 0.000
S 0.897 0.897 0.310
S 0.103 0.103 0.690
W 0.500 0.500 0.500

No. 6
ZnGe3S: PBEsol geometry, meta-GGA SCAN.

Its space group is Pm-3m (221). As for the uncorrected formation energy: 725 meV per atom.

Cell lengths 4.736, 4.736, 4.736 Å; angles 90.00, 90.00, 90.00 degrees
Element x y z (fractional)
S 0.500 0.500 0.500
Ge 0.000 0.500 0.000
Ge 0.000 0.000 0.500
Ge 0.500 0.000 0.000
Zn 0.000 0.000 0.000

No. 7
ZrGeS3: PBEsol geometry, meta-GGA SCAN.

Its space group is Pm-3m (221). As for the uncorrected formation energy: -538 meV per atom.

Cell lengths 4.900, 4.900, 4.900 Å; angles 90.00, 90.00, 90.00 degrees
Element x y z (fractional)
Ge 0.500 0.500 0.500
S 0.000 0.500 0.000
S 0.000 0.000 0.500
S 0.500 0.000 0.000
Zr 0.000 0.000 0.000

No. 8
ZrGeS2: PBEsol geometry, meta-GGA SCAN.

Its space group is R-3m (166). As for the uncorrected formation energy: -300 meV per atom.

Cell lengths 3.452, 3.452, 8.101 Å; angles 77.70, 77.70, 60.00 degrees
Element x y z (fractional)
Ge 0.500 0.500 0.500
S 0.895 0.895 0.314
S 0.105 0.105 0.686
Zr 0.000 0.000 0.000

Across the entries above, magnetic moment takes the values 3.7, 0.0, 0.0, 0.0, 0.0, 0.0, 0.0, 0.0 μB per cell, respectively.